# 1
RbNaLiHg | PBE-GGA | relaxed

As for the formation energy: -0.02 eV/f.u. Its crystal system is cubic.

The space group is F-43m (No. 216) and the conventional cell measures 8.3056, 8.3056 and 8.3056 Å, with angles of 90.00, 90.00 and 90.00 degrees. The distinct sites, in fractional coordinates, are Rb at (0.0000, 0.0000, 0.0000), Na at (0.2500, 0.2500, 0.2500), Li at (0.0000, 0.0000, 0.5000) and Hg at (0.2500, 0.2500, 0.7500).

# 2
Re3GeSe | PBE-GGA | relaxed

The uncorrected formation energy is 1.850 eV/atom. The calculation puts the energy above the most stable polymorph in this dataset at 0.0000 eV/atom. Its crystal system is cubic.

The space group is Pm-3m (No. 221) and the conventional cell measures 4.5892, 4.5892 and 4.5892 Å, with angles of 90.00, 90.00 and 90.00 degrees. The distinct sites, in fractional coordinates, are Re at (0.0000, 0.0000, 0.5000), Ge at (0.5000, 0.5000, 0.5000) and Se at (0.0000, 0.0000, 0.0000).

# 3
Ba5MoH2N4 | PBE-GGA | relaxed

Its crystal system is orthorhombic.

The space group is Amm2 (No. 38) and the conventional cell measures 7.9548, 10.4190 and 6.5286 Å, with angles of 90.00, 90.00 and 90.00 degrees. The distinct sites, in fractional coordinates, are Ba at (0.0000, 0.0000, 0.0000), Ba at (0.2724, 0.1780, 0.4763), Mo at (0.5000, 0.0000, 0.9848), H at (0.0000, 0.2477, 0.7229), N at (0.3092, 0.0000, 0.1601) and N at (0.5000, 0.1498, 0.8167).

Calculated uncorrected energy in order - -1.132; -7.239; -5.593 eV/atom